[1]
# ZrCdI2O | Alexandria | PBE | relaxed
data_ZrCdI2O
_cell_length_a 5.9265
_cell_length_b 5.9265
_cell_length_c 3.9759
_cell_angle_alpha 90.00
_cell_angle_beta 90.00
_cell_angle_gamma 90.00
_space_group_name_H-M_alt 'P 4/m m m'
_space_group_IT_number 123
_space_group_name_Hall '-P 4 2'
loop_
_atom_site_label
_atom_site_type_symbol
_atom_site_fract_x
_atom_site_fract_y
_atom_site_fract_z
_atom_site_occupancy
Zr1 Zr 0.0000 0.0000 0.0000 1
Cd1 Cd 0.5000 0.5000 0.5000 1
I1 I 0.0000 0.5000 0.5000 1
O1 O 0.5000 0.5000 0.0000 1
# Formation energy (no corrections): 0.0826 eV per atom

=====

[2]
# ZrCdI2O | Alexandria | PBE | relaxed
data_ZrCdI2O
_cell_length_a 5.9795
_cell_length_b 5.9795
_cell_length_c 4.0453
_cell_angle_alpha 90.00
_cell_angle_beta 90.00
_cell_angle_gamma 90.00
_space_group_name_H-M_alt 'P 4/m m m'
_space_group_IT_number 123
_space_group_name_Hall '-P 4 2'
loop_
_atom_site_label
_atom_site_type_symbol
_atom_site_fract_x
_atom_site_fract_y
_atom_site_fract_z
_atom_site_occupancy
Zr1 Zr 0.0000 0.0000 0.0000 1
Cd1 Cd 0.5000 0.5000 0.5000 1
I1 I 0.0000 0.5000 0.0000 1
O1 O 0.0000 0.0000 0.5000 1
# Formation energy (no corrections): -1.0741 eV per atom

=====

[3]
# Cd2OsI | Alexandria | PBE | relaxed
data_Cd2OsI
_cell_length_a 6.5379
_cell_length_b 6.5379
_cell_length_c 13.5846
_cell_angle_alpha 90.00
_cell_angle_beta 90.00
_cell_angle_gamma 90.00
_space_group_name_H-M_alt 'I -4 2 d'
_space_group_IT_number 122
_space_group_name_Hall 'I -4 2bw'
loop_
_atom_site_label
_atom_site_type_symbol
_atom_site_fract_x
_atom_site_fract_y
_atom_site_fract_z
_atom_site_occupancy
Cd1 Cd 0.1863 0.2500 0.1250 1
Os1 Os 0.0000 0.0000 0.0000 1
I1 I 0.0000 0.0000 0.5000 1
# Formation energy (no corrections): 1.1172 eV per atom

=====

[4]
# CdOsI2 | Alexandria | PBE | relaxed
data_CdOsI2
_cell_length_a 7.3669
_cell_length_b 7.3669
_cell_length_c 7.3669
_cell_angle_alpha 90.00
_cell_angle_beta 90.00
_cell_angle_gamma 90.00
_space_group_name_H-M_alt 'F m -3 m'
_space_group_IT_number 225
_space_group_name_Hall '-F 4 2 3'
loop_
_atom_site_label
_atom_site_type_symbol
_atom_site_fract_x
_atom_site_fract_y
_atom_site_fract_z
_atom_site_occupancy
Cd1 Cd 0.0000 0.0000 0.0000 1
Os1 Os 0.0000 0.0000 0.5000 1
I1 I 0.2500 0.2500 0.2500 1
# Formation energy (no corrections): 1.2371 eV per atom

=====

[5]
# CdOsI2 | Alexandria | PBE | relaxed
data_CdOsI2
_cell_length_a 9.3755
_cell_length_b 9.3755
_cell_length_c 5.4700
_cell_angle_alpha 90.00
_cell_angle_beta 90.00
_cell_angle_gamma 90.00
_space_group_name_H-M_alt 'I -4 2 d'
_space_group_IT_number 122
_space_group_name_Hall 'I -4 2bw'
loop_
_atom_site_label
_atom_site_type_symbol
_atom_site_fract_x
_atom_site_fract_y
_atom_site_fract_z
_atom_site_occupancy
Cd1 Cd 0.0000 0.0000 0.0000 1
Os1 Os 0.0000 0.0000 0.5000 1
I1 I 0.1136 0.2500 0.6250 1
# Formation energy (no corrections): 0.4939 eV per atom

=====

[6]
# CdOsI3 | Alexandria | PBE | relaxed
data_CdOsI3
_cell_length_a 5.4686
_cell_length_b 5.4686
_cell_length_c 5.4686
_cell_angle_alpha 90.00
_cell_angle_beta 90.00
_cell_angle_gamma 90.00
_space_group_name_H-M_alt 'P m -3 m'
_space_group_IT_number 221
_space_group_name_Hall '-P 4 2 3'
loop_
_atom_site_label
_atom_site_type_symbol
_atom_site_fract_x
_atom_site_fract_y
_atom_site_fract_z
_atom_site_occupancy
Cd1 Cd 0.0000 0.0000 0.0000 1
Os1 Os 0.5000 0.5000 0.5000 1
I1 I 0.0000 0.5000 0.5000 1
# Formation energy (no corrections): 0.5648 eV per atom

=====

[7]
# CdOs2I | Alexandria | PBE | relaxed
data_CdOs2I
_cell_length_a 6.5697
_cell_length_b 6.5697
_cell_length_c 6.5697
_cell_angle_alpha 90.00
_cell_angle_beta 90.00
_cell_angle_gamma 90.00
_space_group_name_H-M_alt 'F m -3 m'
_space_group_IT_number 225
_space_group_name_Hall '-F 4 2 3'
loop_
_atom_site_label
_atom_site_type_symbol
_atom_site_fract_x
_atom_site_fract_y
_atom_site_fract_z
_atom_site_occupancy
Cd1 Cd 0.0000 0.0000 0.0000 1
Os1 Os 0.2500 0.2500 0.2500 1
I1 I 0.0000 0.0000 0.5000 1
# Formation energy (no corrections): 1.3953 eV per atom

=====

[8]
# Cd2OsI | Alexandria | PBE | relaxed
data_Cd2OsI
_cell_length_a 7.0971
_cell_length_b 7.0971
_cell_length_c 7.0971
_cell_angle_alpha 90.00
_cell_angle_beta 90.00
_cell_angle_gamma 90.00
_space_group_name_H-M_alt 'F m -3 m'
_space_group_IT_number 225
_space_group_name_Hall '-F 4 2 3'
loop_
_atom_site_label
_atom_site_type_symbol
_atom_site_fract_x
_atom_site_fract_y
_atom_site_fract_z
_atom_site_occupancy
Cd1 Cd 0.2500 0.2500 0.2500 1
Os1 Os 0.0000 0.0000 0.0000 1
I1 I 0.0000 0.0000 0.5000 1
# Formation energy (no corrections): 1.1819 eV per atom

=====

| no. | energy relative to the lowest polymorph listed for this composition (meV per atom) | energy (eV per formula unit) |
| --- | --- | --- |
| 1 | 1157 | -17.109 |
| 2 | 0 | -22.892 |
| 3 | 0 | -10.141 |
| 4 | 743 | -10.297 |
| 5 | 0 | -13.270 |
| 6 | 0 | -13.971 |
| 7 | 0 | -19.343 |
| 8 | 65 | -9.882 |